# 1
First-principles (PBE) data for crystalline Nd5Sm8Mg at its relaxed geometry, as listed in Alexandria via LeMat-Bulk.

Cell lengths 8.9178, 8.9862, 8.9063 Å; angles 122.31, 122.61, 85.62 degrees
With the nearest neighbours (Å) after each atom.
Fractional positions:
Sm 0.4255 0.3186 0.9978  1 Mg 3.32, 4 Sm 3.44-3.49
Sm 0.7842 0.2955 0.4118  1 Mg 3.21, 2 Nd 3.34-3.44, 4 Sm 3.36-3.55
Sm 0.5730 0.9253 0.8868  5 Nd 3.34-3.67, 5 Sm 3.36-3.67
Sm 0.4269 0.4245 0.4800  1 Mg 3.31, 2 Nd 3.55-3.61, 3 Sm 3.55-3.67
Sm 0.9620 0.0748 0.6488  5 Nd 3.34-3.65, 5 Sm 3.36-3.66
Sm 0.0589 0.5752 0.0053  1 Mg 3.30, 3 Sm 3.54-3.66, 2 Nd 3.56-3.61
Sm 0.6798 0.6810 0.1055  1 Mg 3.31, 4 Sm 3.43-3.49
Sm 0.1152 0.7050 0.4889  1 Mg 3.21, 2 Nd 3.35-3.43, 4 Sm 3.36-3.54
Mg 0.2228 0.5006 0.7229  6 Sm 3.21-3.32, 2 Nd 3.39
Nd 0.0711 0.0437 0.3124  3 Nd 3.32-3.55, 1 Mg 3.39, 4 Sm 3.44-3.67
Nd 0.2666 0.9565 0.0263  3 Nd 3.32-3.55, 1 Mg 3.39, 4 Sm 3.43-3.65
Nd 0.4971 0.9996 0.4959  4 Nd 3.32-3.50, 2 Sm 3.59
Nd 0.7859 0.7345 0.6161  5 Sm 3.34-3.62, 2 Nd 3.50-3.51
Nd 0.8811 0.2652 0.0515  5 Sm 3.34-3.62, 2 Nd 3.50-3.52

Computed properties:
Total magnetic moment, μB/f.u.: 0.0
Crystal system: triclinic
DFT total energy, eV per cell: -61.1
Space-group type: P1 (1)

# 2
First-principles (PBE) data for crystalline TlAu3 at its relaxed geometry, as listed in Alexandria via LeMat-Bulk.

Cell lengths 7.8561, 7.8561, 7.8561 Å; angles 27.12, 27.12, 27.12 degrees
With the nearest neighbours (Å) after each atom.
Fractional positions:
Au 0.7546 0.7546 0.7546  3 Au 2.78, 3 Tl 2.92
Au 0.5000 0.5000 0.5000  6 Au 2.78
Au 0.2454 0.2454 0.2454  3 Au 2.78, 3 Tl 2.92
Tl 0.0000 0.0000 0.0000  6 Au 2.92

Computed properties:
Total magnetic moment, μB/f.u.: 0.0
Crystal system: trigonal
DFT total energy, eV per cell: -11.7
Space-group type: R-3m (166)

# 3
First-principles (PBE) data for crystalline Sn2Sb2Au at its relaxed geometry, as listed in Alexandria via LeMat-Bulk.

Cell lengths 6.0919, 6.0919, 7.7252 Å; angles 90.00, 90.00, 142.69 degrees
With the nearest neighbours (Å) after each atom.
Fractional positions:
Sn 0.8595 0.1405 0.5000  4 Sb 3.17, 3 Sn 3.19-3.24
Sn 0.1405 0.8595 0.5000  4 Sb 3.17, 3 Sn 3.19-3.24
Au 0.0000 0.0000 0.0000  4 Sb 2.77
Sb 0.5000 0.5000 0.7455  2 Au 2.77
Sb 0.5000 0.5000 0.2545  2 Au 2.77

Computed properties:
Excess energy over the best structure of this formula in the dataset, eV/f.u.: 0.59
Total magnetic moment, μB/f.u.: 0.0
Crystal system: orthorhombic
Space-group type: Cmmm (65)
ΔE_f (raw), eV/atom: 0.13

# 4
First-principles (PBE) data for crystalline RbLa2SiC at its relaxed geometry, as listed in Alexandria via LeMat-Bulk.

Cell lengths 5.1489, 5.4242, 5.1489 Å; angles 90.00, 90.00, 90.00 degrees
With the nearest neighbours (Å) after each atom.
Fractional positions:
C 0.0000 0.0000 0.0000  4 La 2.57, 2 Rb 2.71
La 0.0000 0.0000 0.5000  2 C 2.57
La 0.5000 0.0000 0.0000  2 C 2.57
Si 0.5000 0.5000 0.5000  4 Rb 3.64, 8 La 3.74
Rb 0.0000 0.5000 0.0000  2 C 2.71

Computed properties:
Excess energy over the best structure of this formula in the dataset, eV/f.u.: 0.00
Total magnetic moment, μB/f.u.: 0.0
Crystal system: tetragonal
Space-group type: P4/mmm (123)
ΔE_f (raw), eV/atom: 0.39

# 5
First-principles (PBE) data for crystalline KRhPb2 at its relaxed geometry, as listed in Alexandria via LeMat-Bulk.

Cell lengths 8.5712, 8.5712, 8.5712 Å; angles 156.17, 151.83, 37.22 degrees
With the nearest neighbours (Å) after each atom.
Fractional positions:
K 0.3150 0.8150 0.5000  2 K 3.54, 6 Pb 3.58-3.70, 2 Rh 3.91
Pb 0.9939 0.9939 0.0000  4 Rh 2.80
Pb 0.6613 0.1613 0.5000  2 Rh 2.77
Rh 0.5298 0.5298 0.0000  6 Pb 2.77-2.80

Computed properties:
Total magnetic moment, μB/f.u.: 0.0
Crystal system: orthorhombic
DFT total energy, eV per cell: -15.9
Space-group type: Imm2 (44)

# 6
First-principles (PBE) data for crystalline VBS2Cl at its relaxed geometry, as listed in Alexandria via LeMat-Bulk.

Cell lengths 4.5464, 4.5464, 4.8886 Å; angles 90.00, 90.00, 90.00 degrees
With the nearest neighbours (Å) after each atom.
Fractional positions:
Cl 0.0000 0.0000 0.5000  2 V 2.44
V 0.0000 0.0000 0.0000  4 S 2.27, 2 Cl 2.44
S 0.5000 0.0000 0.0000  2 V 2.27
S 0.0000 0.5000 0.0000  2 V 2.27
B 0.5000 0.5000 0.5000  4 Cl 3.21, 8 S 3.34

Computed properties:
Excess energy over the best structure of this formula in the dataset, eV/f.u.: 0.00
Total magnetic moment, μB/f.u.: 1.1
Crystal system: tetragonal
Space-group type: P4/mmm (123)
ΔE_f (raw), eV/atom: 0.57

# 7
First-principles (PBE) data for crystalline CsRbNiH4 at its relaxed geometry, as listed in Alexandria via LeMat-Bulk.

Cell lengths 7.3866, 7.3866, 9.1465 Å; angles 90.00, 90.00, 141.72 degrees
With the nearest neighbours (Å) after each atom.
Fractional positions:
Rb 0.2331 0.7669 0.7500  2 Ni 3.26, 8 H 3.29-3.32
Rb 0.7669 0.2331 0.2500  2 Ni 3.26, 8 H 3.29-3.32
Cs 0.5000 0.5000 0.5000  8 H 3.02-3.25
Cs 0.5000 0.5000 0.0000  8 H 3.02-3.25
Ni 0.1107 0.8893 0.2500  4 H 1.59-1.60
Ni 0.8893 0.1107 0.7500  4 H 1.59-1.60
H 0.8548 0.1452 0.5843  1 Ni 1.59
H 0.8548 0.1452 0.9157  1 Ni 1.59
H 0.1452 0.8548 0.4157  1 Ni 1.59
H 0.1452 0.8548 0.0843  1 Ni 1.59
H 0.0910 0.0928 0.7500  1 H 0.89
H 0.0928 0.0910 0.2500  1 H 0.89
H 0.9090 0.9072 0.2500  1 H 0.89
H 0.9072 0.9090 0.7500  1 H 0.89

Computed properties:
Total magnetic moment, μB/f.u.: 0.0
Crystal system: orthorhombic
DFT total energy, eV per cell: -42.0
Space-group type: Cmcm (63)

# 8
First-principles (PBE) data for crystalline Pm4GaBi3 at its relaxed geometry, as listed in Alexandria via LeMat-Bulk.

Cell lengths 6.3932, 6.3932, 6.3932 Å; angles 90.00, 90.00, 90.00 degrees
With the nearest neighbours (Å) after each atom.
Fractional positions:
Pm 0.0000 0.0000 0.5000  4 Bi 3.20, 2 Ga 3.20
Pm 0.5000 0.5000 0.5000  6 Bi 3.20
Pm 0.0000 0.5000 0.0000  4 Bi 3.20, 2 Ga 3.20
Pm 0.5000 0.0000 0.0000  4 Bi 3.20, 2 Ga 3.20
Bi 0.5000 0.0000 0.5000  6 Pm 3.20
Bi 0.5000 0.5000 0.0000  6 Pm 3.20
Bi 0.0000 0.5000 0.5000  6 Pm 3.20
Ga 0.0000 0.0000 0.0000  6 Pm 3.20

Computed properties:
Total magnetic moment, μB/f.u.: 0.0
Crystal system: cubic
DFT total energy, eV per cell: -39.6
Space-group type: Pm-3m (221)

# 9
First-principles (PBE) data for crystalline NaCa2Cd at its relaxed geometry, as listed in Alexandria via LeMat-Bulk.

Cell lengths 3.8195, 3.8195, 12.1843 Å; angles 80.98, 80.98, 60.00 degrees
With the nearest neighbours (Å) after each atom.
Fractional positions:
Cd 0.5000 0.5000 0.5000  6 Ca 3.26
Ca 0.0997 0.0997 0.7009  3 Cd 3.26, 1 Na 3.58
Ca 0.9003 0.9003 0.2991  3 Cd 3.26, 1 Na 3.58
Na 0.0000 0.0000 0.0000  2 Ca 3.58, 6 Na 3.82

Computed properties:
Total magnetic moment, μB/f.u.: 0.0
Crystal system: trigonal
DFT total energy, eV per cell: -6.2
Space-group type: R-3m (166)

# 10
First-principles (PBE) data for crystalline Ac4Pd2PtRh at its relaxed geometry, as listed in Alexandria via LeMat-Bulk.

Cell lengths 4.3668, 7.5940, 7.5891 Å; angles 70.64, 90.00, 90.00 degrees
With the nearest neighbours (Å) after each atom.
Fractional positions:
Ac 0.0000 0.2608 0.2424  2 Rh 3.04, 1 Pt 3.08, 3 Pd 3.12-3.15
Ac 0.5000 0.7410 0.2485  1 Rh 3.03, 2 Pt 3.07, 3 Pd 3.12-3.16
Ac 0.0000 0.7392 0.7576  2 Rh 3.04, 1 Pt 3.08, 3 Pd 3.12-3.15
Ac 0.5000 0.2590 0.7515  1 Rh 3.03, 2 Pt 3.07, 3 Pd 3.12-3.16
Pd 0.5000 0.0000 0.5000  6 Ac 3.15-3.16
Pd 0.0000 0.0000 0.0000  6 Ac 3.12
Pt 0.0000 0.5000 0.5000  6 Ac 3.07-3.08
Rh 0.5000 0.5000 0.0000  6 Ac 3.03-3.04

Computed properties:
Total magnetic moment, μB/f.u.: 0.0
Crystal system: monoclinic
DFT total energy, eV per cell: -47.0
Space-group type: P2/m (10)

total magnetic moment of number 10 (Ac4Pd2PtRh)? 0.0 μB/f.u.